Ce3ThFe | GGA-PBE | relaxed

```
Ce3ThFe
1.0
-1.715 -3.434 -3.434
4.809 -0.695 -1.706
0.674 -3.775 3.438
Ce Th Fe
3 1 1
direct
0.000 0.500 0.000
0.500 0.000 0.000
0.000 0.000 0.500
0.500 0.500 0.500
0.000 0.000 0.000
```

Summary:
**Energy relative to the elements**: 148.5 meV/atom
**Magnetization**: 0.0 Bohr magnetons per cell
**VASP energy**: -6.588 eV/atom